Ga4Pd | PBE | optimized geometry

Results
energy of formation: -0.23 eV/atom
V: 1077.3 Å³ per cell
energy above the lowest structure with this stoichiometry: 0.00 kcal/mol of atoms
spin magnetization: 0.00 μB per cell

a = 13.3177 Å, b = 12.1981 Å, c = 8.7636 Å
α = 90.00°, β = 130.83°, γ = 90.00°
Last column: nearest neighbours and their distance in Å.
Space group C2/c (No. 15)
Symmetry-distinct sites (fractional):
Ga: 0.0000 0.1525 0.2500 [4 per cell]  2 Pd 2.57, 4 Ga 2.72-2.79
Ga: 0.0259 0.0981 0.6090 [8 per cell]  3 Pd 2.60-2.72, 1 Ga 2.85
Ga: 0.0311 0.3269 0.4703 [8 per cell]  5 Ga 2.69-2.91, 1 Pd 2.82
Ga: 0.0936 0.4566 0.9502 [8 per cell]  2 Pd 2.59-2.61, 5 Ga 2.66-2.81
Ga: 0.2326 0.2318 0.1360 [8 per cell]  2 Pd 2.65-2.75, 2 Ga 2.75-2.85
Ga: 0.2331 0.4454 0.3541 [8 per cell]  2 Pd 2.52-2.61, 3 Ga 2.64-2.76
Ga: 0.2500 0.2500 0.5000 [4 per cell]  6 Ga 2.64-2.91, 2 Pd 2.68
Pd: 0.0000 0.2728 0.7500 [4 per cell]  8 Ga 2.60-2.82
Pd: 0.1908 0.0671 0.2862 [8 per cell]  8 Ga 2.52-2.72